The following is a DFT calculation (PBE-GGA) of a relaxed AsCl5 crystal.

Cell: 3.7338 8.5534 6.7002 Å, 94.57 106.18 90.00°
With the nearest neighbours (Å) after each atom.
Sites, in units of the cell vectors:
1 Cl 0.9799 0.3630 0.9598  1 As 2.19
2 Cl 0.7189 0.8008 0.4377  1 Cl 2.00
3 Cl 0.4954 0.0221 0.9908  2 As 2.56
4 Cl 0.8172 0.6309 0.6345  1 Cl 2.00
5 Cl 0.2676 0.2143 0.5351  2 As 2.55
6 As 0.8877 0.1356 0.7754  1 Cl 2.19

Calculated values
VASP energy: -2.73 eV per atom
N(E_F): 0.00 states/eV/cell
E_form (uncorrected): -0.42 eV per atom